Record 1
The following is a GGA-PBE calculation of an optimized crystal structure of TiTe2PbN, from the Alexandria database. Values from VASP.

```
&SYSTEM
  ibrav = 0, nat = 5, ntyp = 4
/
ATOMIC_SPECIES
Ti 47.87 Ti.upf
Te 127.60 Te.upf
Pb 207.20 Pb.upf
N 14.01 N.upf
CELL_PARAMETERS angstrom
5.7082 0.0000 0.0000
0.0000 5.7082 0.0000
0.0000 0.0000 3.7945
ATOMIC_POSITIONS crystal
Ti 0.0000 0.0000 0.0000
Te 0.0000 0.5000 0.0000
Te 0.5000 0.0000 0.0000
Pb 0.5000 0.5000 0.5000
N 0.0000 0.0000 0.5000
```

## Properties
Its uncorrected formation energy is -0.94 eV per formula unit. Its energy above the lowest structure with this stoichiometry is 0 meV/atom. The density of states at the Fermi level comes out at 4.34 states/eV/cell.

---

Record 2
The following is a GGA-PBE calculation of an optimized crystal structure of BeRe2Ir, from the Alexandria database. Values from VASP.

```
&SYSTEM
  ibrav = 0, nat = 4, ntyp = 3
/
ATOMIC_SPECIES
Be 9.01 Be.upf
Re 186.21 Re.upf
Ir 192.22 Ir.upf
CELL_PARAMETERS angstrom
1.4351 -2.2878 0.0000
1.4351 2.2878 0.0000
0.0000 0.0000 8.3523
ATOMIC_POSITIONS crystal
Be 0.0000 0.0000 0.0000
Re 0.0000 0.0000 0.5011
Re 0.5000 0.5000 0.2364
Ir 0.5000 0.5000 0.7850
```

## Properties
The density of states at the Fermi level comes out at 1.94 states/eV/cell. Its energy is -9.232 eV/atom.

---

Record 3
The following is a GGA-PBE calculation of an optimized crystal structure of Hf4GaS8, from the Alexandria database. Values from VASP.

```
&SYSTEM
  ibrav = 0, nat = 13, ntyp = 3
/
ATOMIC_SPECIES
Hf 178.49 Hf.upf
Ga 69.72 Ga.upf
S 32.06 S.upf
CELL_PARAMETERS angstrom
3.6139 2.0865 7.1640
-3.6139 2.0865 7.1640
0.0000 -4.1729 7.1640
ATOMIC_POSITIONS crystal
Hf 0.0000 0.0000 0.0000
Hf 0.0000 0.5000 0.5000
Hf 0.5000 0.0000 0.5000
Hf 0.5000 0.5000 0.0000
Ga 0.5000 0.5000 0.5000
S 0.2360 0.2360 0.7363
S 0.2360 0.7363 0.2360
S 0.2637 0.7640 0.7640
S 0.2653 0.2653 0.2653
S 0.7347 0.7347 0.7347
S 0.7363 0.2360 0.2360
S 0.7640 0.2637 0.7640
S 0.7640 0.7640 0.2637
```

## Properties
Its uncorrected formation energy is -18.73 eV per formula unit. Its energy above the lowest structure with this stoichiometry is 0 meV/atom. The density of states at the Fermi level comes out at 3.26 states/eV/cell.

---

Record 4
The following is a GGA-PBE calculation of an optimized crystal structure of Cs3La3US8, from the Alexandria database. Values from VASP.

```
&SYSTEM
  ibrav = 0, nat = 15, ntyp = 4
/
ATOMIC_SPECIES
Cs 132.91 Cs.upf
La 138.91 La.upf
U 238.03 U.upf
S 32.06 S.upf
CELL_PARAMETERS angstrom
7.3865 -4.2736 0.0000
7.3865 4.2736 0.0000
-4.9215 0.0000 8.1872
ATOMIC_POSITIONS crystal
Cs 0.0000 0.0000 0.0000
Cs 0.0000 0.5000 0.0000
Cs 0.5000 0.0000 0.0000
La 0.0000 0.5000 0.5000
La 0.5000 0.0000 0.5000
La 0.5000 0.5000 0.5000
U 0.0000 0.0000 0.5000
S 0.2156 0.2156 0.6761
S 0.2161 0.7446 0.6762
S 0.2554 0.7839 0.3238
S 0.2713 0.2713 0.3144
S 0.7287 0.7287 0.6856
S 0.7446 0.2161 0.6762
S 0.7839 0.2554 0.3238
S 0.7844 0.7844 0.3239
```

## Properties
Its uncorrected formation energy is -26.99 eV per formula unit. The density of states at the Fermi level comes out at 5.90 states/eV/cell.

---

Record 5
The following is a GGA-PBE calculation of an optimized crystal structure of NbGa2H, from the Alexandria database. Values from VASP.

```
&SYSTEM
  ibrav = 0, nat = 8, ntyp = 3
/
ATOMIC_SPECIES
Nb 92.91 Nb.upf
Ga 69.72 Ga.upf
H 1.01 H.upf
CELL_PARAMETERS angstrom
-3.2219 3.2219 2.6272
3.2219 -3.2219 2.6272
3.2219 3.2219 -2.6272
ATOMIC_POSITIONS crystal
Nb 0.0000 0.0000 0.0000
Nb 0.7500 0.2500 0.5000
Ga 0.2064 0.6250 0.0814
Ga 0.3750 0.4564 0.5814
Ga 0.5436 0.1250 0.9186
Ga 0.8750 0.7936 0.4186
H 0.2500 0.7500 0.5000
H 0.5000 0.5000 0.0000
```

## Properties
Its energy above the lowest structure with this stoichiometry is 0 meV/atom. The density of states at the Fermi level comes out at 3.26 states/eV/cell.

---

Record 6
The following is a GGA-PBE calculation of an optimized crystal structure of Be2SbBr, from the Alexandria database. Values from VASP.

```
&SYSTEM
  ibrav = 0, nat = 4, ntyp = 3
/
ATOMIC_SPECIES
Be 9.01 Be.upf
Sb 121.76 Sb.upf
Br 79.90 Br.upf
CELL_PARAMETERS angstrom
-1.6817 3.6014 3.7654
1.6817 -3.6014 3.7654
1.6817 3.6014 -3.7654
ATOMIC_POSITIONS crystal
Be 0.2469 0.0000 0.2469
Be 0.7531 0.0000 0.7531
Sb 0.5000 0.5000 0.0000
Br 0.0000 0.5000 0.5000
```

## Properties
Its uncorrected formation energy is 2.21 eV per formula unit. Its energy above the lowest structure with this stoichiometry is 593 meV/atom. The density of states at the Fermi level comes out at 1.45 states/eV/cell.